An optimized crystal structure of Co2BrF. Source: the Alexandria database, functional GGA+U.

SG: No. 225
excess energy over the best structure of this formula in the dataset: 0.540 eV/atom
total magnetic moment: 4.2 μB per cell

a b c (Å): 4.324 4.324 4.324
angles (deg): 60.00 60.00 60.00
Positions (direct):
Co1 0.250 0.250 0.250
Co2 0.750 0.750 0.750
Br1 0.500 0.500 0.500
F1 0.000 0.000 0.000